An optimized crystal structure of NaTcB4, computed with PBE-GGA.

* energy above the most stable polymorph in this dataset: 0.0 meV per atom
* SG: P6/mmm
* final energy: -38.56 eV per cell

a b c (Å): 2.9833 2.9833 7.6008
angles (deg): 90.00 90.00 120.00
Closest atoms and distances in Å follow each position.
Atoms (fractional coordinates):
Na 0.0000 0.0000 0.0000  12 B 2.74, 6 Na 2.98
Tc 0.0000 0.0000 0.5000  12 B 2.40
B 0.3333 0.6667 0.2805  3 B 1.72
B 0.3333 0.6667 0.7195  3 B 1.72
B 0.6667 0.3333 0.2805  3 B 1.72
B 0.6667 0.3333 0.7195  3 B 1.72


An optimized crystal structure of NaTcB4, computed with PBE-GGA.

* energy above the most stable polymorph in this dataset: 102.4 meV per atom
* SG: Immm
* final energy: -37.95 eV per cell

a b c (Å): 4.5276 4.5276 4.5276
angles (deg): 140.97 107.99 85.09
Closest atoms and distances in Å follow each position.
Atoms (fractional coordinates):
Na 0.0000 0.0000 0.0000  12 B 2.41-2.46
Tc 0.5000 0.5000 0.0000  12 B 2.39-2.48
B 0.0935 0.7521 0.3414  3 B 1.69-1.80
B 0.4106 0.7521 0.6586  3 B 1.69-1.80
B 0.5894 0.2479 0.3414  3 B 1.69-1.80
B 0.9065 0.2479 0.6586  3 B 1.69-1.80


An optimized crystal structure of NaTmB, computed with PBE-GGA.

* energy above the most stable polymorph in this dataset: 552.0 meV per atom
* SG: F-43m
* final energy: -9.22 eV per cell

a b c (Å): 4.4067 4.4067 4.4067
angles (deg): 60.00 60.00 60.00
Closest atoms and distances in Å follow each position.
Atoms (fractional coordinates):
Na 0.0000 0.0000 0.0000  4 Tm 2.70
Tm 0.7500 0.7500 0.7500  4 Na 2.70, 4 B 2.70
B 0.5000 0.5000 0.5000  4 Tm 2.70